<1>
The following is a PBE-GGA calculation of TePOs2 after structural relaxation, from Alexandria.

As for the magnetic moment: 0.0 μB per cell. The value obtained for the density of states at the Fermi level is 1.975 states/eV/f.u.

```
TePOs2
1.0
3.573 -1.487 0.000
3.573 1.487 0.000
-1.004 0.000 6.493
Te P Os
1 1 2
Cartesian
0.000 0.000 0.000
3.071 0.000 3.246
0.991 0.000 4.362
5.150 0.000 2.131
```


<2>
The following is a PBE-GGA calculation of TePOs2 after structural relaxation, from Alexandria.

As for the magnetic moment: 0.0 μB per cell. The value obtained for the density of states at the Fermi level is 2.641 states/eV/f.u.

```
TePOs2
1.0
-1.476 2.447 4.567
1.476 -2.447 4.567
1.476 2.447 -4.567
Te P Os
1 1 2
Cartesian
0.000 0.000 0.000
0.000 0.000 4.567
1.476 0.000 2.745
0.000 2.447 1.822
```


How do the energies compare? Relative to the most stable structure, in kJ/mol of atoms: <1> 0.0; <2> 43.0.


<1>
The following is a PBE-GGA calculation of TePOs2 after structural relaxation, from Alexandria.

As for the magnetic moment: 0.0 μB per cell. The value obtained for the density of states at the Fermi level is 4.011 states/eV/f.u.

```
TePOs2
1.0
2.872 -4.386 0.000
2.872 4.386 0.000
-1.616 0.000 2.640
Te P Os
1 1 2
Cartesian
0.000 0.000 0.000
2.872 0.000 0.000
0.628 2.193 1.320
0.628 -2.193 1.320
```


<2>
The following is a PBE-GGA calculation of TePOs2 after structural relaxation, from Alexandria.

As for the magnetic moment: 0.0 μB per cell. The value obtained for the density of states at the Fermi level is 2.130 states/eV/f.u.

```
TePOs2
1.0
3.015 0.000 0.000
0.000 3.015 0.000
0.000 0.000 6.927
Te P Os
1 1 2
Cartesian
0.000 0.000 0.000
0.000 0.000 3.464
1.508 1.508 2.091
1.508 1.508 4.836
```


How do the energies compare? Relative to the most stable structure, in kJ/mol of atoms: <1> 53.9; <2> 0.0.


<1>
The following is a PBE-GGA calculation of TePOs2 after structural relaxation, from Alexandria.

As for the magnetic moment: 0.0 μB per cell. The value obtained for the density of states at the Fermi level is 4.923 states/eV/f.u.

```
TePOs2
1.0
2.952 0.000 0.000
0.000 4.490 0.000
0.000 0.000 4.967
Te P Os
1 1 2
Cartesian
0.000 0.000 0.000
1.476 0.000 2.483
0.000 2.245 2.483
1.476 2.245 0.000
```


<2>
The following is a PBE-GGA calculation of TePOs2 after structural relaxation, from Alexandria.

As for the magnetic moment: 0.0 μB per cell. The value obtained for the density of states at the Fermi level is 1.153 states/eV/f.u.

```
TePOs2
1.0
-2.741 2.741 5.657
2.741 -2.741 5.657
2.741 2.741 -5.657
Te P Os
2 2 4
Cartesian
0.000 0.000 0.000
0.000 2.741 2.828
2.741 0.000 2.828
0.000 0.000 5.657
1.370 -1.094 4.243
1.646 1.370 1.414
1.370 3.835 -1.414
1.094 1.370 7.071
```


<3>
The following is a PBE-GGA calculation of TePOs2 after structural relaxation, from Alexandria.

As for the magnetic moment: 0.0 μB per cell. The value obtained for the density of states at the Fermi level is 3.405 states/eV/f.u.

```
TePOs2
1.0
-1.896 1.896 4.461
1.896 -1.896 4.461
1.896 1.896 -4.461
Te P Os
1 1 2
Cartesian
0.000 0.000 0.000
0.000 1.896 2.230
1.896 0.000 2.230
0.000 0.000 4.461
```


<4>
The following is a PBE-GGA calculation of TePOs2 after structural relaxation, from Alexandria.

As for the magnetic moment: 0.0 μB per cell. The value obtained for the density of states at the Fermi level is 3.521 states/eV/f.u.

```
TePOs2
1.0
3.060 0.000 0.000
0.000 3.807 0.000
0.000 0.000 5.763
Te P Os
1 1 2
Cartesian
0.000 0.000 0.000
1.530 1.903 3.445
0.000 0.000 2.984
1.530 1.903 1.178
```


How do the energies compare? Relative to the most stable structure, in kJ/mol of atoms: <1> 69.9; <2> 0.0; <3> 56.7; <4> 5.7.


<1>
The following is a PBE-GGA calculation of TePOs2 after structural relaxation, from Alexandria.

As for the magnetic moment: 0.0 μB per cell. The value obtained for the density of states at the Fermi level is 0.687 states/eV/f.u.

```
TePOs2
1.0
1.504 0.868 9.634
-1.504 0.868 9.634
0.000 -1.737 9.634
Te P Os
1 1 2
Cartesian
0.000 0.000 0.000
0.000 0.000 5.930
0.000 0.000 13.958
0.000 0.000 21.357
```


<2>
The following is a PBE-GGA calculation of TePOs2 after structural relaxation, from Alexandria.

As for the magnetic moment: 0.0 μB per cell. The value obtained for the density of states at the Fermi level is 3.819 states/eV/f.u.

```
TePOs2
1.0
4.414 0.000 0.000
0.000 4.414 0.000
0.000 0.000 3.264
Te P Os
1 1 2
Cartesian
0.000 0.000 0.000
2.207 2.207 0.000
0.000 2.207 1.632
2.207 0.000 1.632
```


How do the energies compare? Relative to the most stable structure, in kJ/mol of atoms: <1> 0.0; <2> 33.3.


<1>
The following is a PBE-GGA calculation of TePOs2 after structural relaxation, from Alexandria.

As for the magnetic moment: 0.0 μB per cell. The value obtained for the density of states at the Fermi level is 2.439 states/eV/f.u.

```
TePOs2
1.0
2.997 0.000 0.000
0.000 4.294 0.000
-0.088 0.000 6.431
Te P Os
1 1 2
Cartesian
0.000 0.000 0.000
1.425 2.147 2.937
1.423 0.000 3.991
2.921 2.147 4.758
```


<2>
The following is a PBE-GGA calculation of TePOs2 after structural relaxation, from Alexandria.

As for the magnetic moment: 0.0 μB per cell. The value obtained for the density of states at the Fermi level is 4.104 states/eV/f.u.

```
TePOs2
1.0
0.000 3.163 3.163
3.163 0.000 3.163
3.163 3.163 0.000
Te P Os
1 1 2
Cartesian
0.000 0.000 0.000
3.163 3.163 3.163
1.582 1.582 1.582
4.745 4.745 4.745
```


How do the energies compare? Relative to the most stable structure, in kJ/mol of atoms: <1> 0.0; <2> 41.2.


<1>
The following is a PBE-GGA calculation of TePOs2 after structural relaxation, from Alexandria.

As for the magnetic moment: 0.0 μB per cell. The value obtained for the density of states at the Fermi level is 2.888 states/eV/f.u.

```
TePOs2
1.0
2.996 0.000 0.000
0.000 2.996 0.000
0.000 0.000 7.891
Te P Os
1 1 2
Cartesian
0.000 0.000 0.000
1.498 1.498 4.908
0.000 0.000 3.658
1.498 1.498 1.670
```


<2>
The following is a PBE-GGA calculation of TePOs2 after structural relaxation, from Alexandria.

As for the magnetic moment: 0.0 μB per cell. The value obtained for the density of states at the Fermi level is 2.379 states/eV/f.u.

```
TePOs2
1.0
4.009 -1.562 0.000
4.009 1.562 0.000
-0.778 0.000 5.650
Te P Os
1 1 2
Cartesian
0.000 0.000 0.000
6.065 0.000 2.558
1.490 0.000 4.209
3.777 0.000 2.324
```


How do the energies compare? Relative to the most stable structure, in kJ/mol of atoms: <1> 14.5; <2> 0.0.


<1>
The following is a PBE-GGA calculation of TePOs2 after structural relaxation, from Alexandria.

As for the magnetic moment: 0.0 μB per cell. The value obtained for the density of states at the Fermi level is 3.828 states/eV/f.u.

```
TePOs2
1.0
1.472 -2.625 0.000
1.472 2.625 0.000
0.000 0.000 8.773
Te P Os
1 1 2
Cartesian
0.000 0.000 0.000
0.000 0.000 4.386
1.472 0.000 2.621
1.472 0.000 6.152
```


<2>
The following is a PBE-GGA calculation of TePOs2 after structural relaxation, from Alexandria.

As for the magnetic moment: 0.0 μB per cell. The value obtained for the density of states at the Fermi level is 3.070 states/eV/f.u.

```
TePOs2
1.0
-1.525 1.759 6.510
1.525 -1.759 6.510
1.525 1.759 -6.510
Te P Os
1 1 2
Cartesian
0.000 0.000 0.000
1.525 0.000 3.209
0.000 0.000 8.125
0.000 1.759 3.924
```


<3>
The following is a PBE-GGA calculation of TePOs2 after structural relaxation, from Alexandria.

As for the magnetic moment: 0.0 μB per cell. The value obtained for the density of states at the Fermi level is 2.660 states/eV/f.u.

```
TePOs2
1.0
1.527 0.882 7.873
-1.527 0.882 7.873
0.000 -1.763 7.873
Te P Os
1 1 2
Cartesian
0.000 0.000 0.000
0.000 0.000 11.809
0.000 0.000 5.647
0.000 0.000 17.971
```


<4>
The following is a PBE-GGA calculation of TePOs2 after structural relaxation, from Alexandria.

As for the magnetic moment: 0.0 μB per cell. The value obtained for the density of states at the Fermi level is 3.349 states/eV/f.u.

```
TePOs2
1.0
3.006 0.000 0.000
0.000 3.583 0.000
-1.438 0.000 6.483
Te P Os
1 1 2
Cartesian
0.000 0.000 0.000
-0.719 0.000 3.241
0.008 1.791 4.422
1.560 1.791 2.060
```


How do the energies compare? Relative to the most stable structure, in kJ/mol of atoms: <1> 33.4; <2> 0.0; <3> 7.4; <4> 23.9.


<1>
The following is a PBE-GGA calculation of TePOs2 after structural relaxation, from Alexandria.

As for the magnetic moment: 0.0 μB per cell. The value obtained for the density of states at the Fermi level is 3.754 states/eV/f.u.

```
TePOs2
1.0
1.464 -2.566 0.000
1.464 2.566 0.000
0.000 0.000 9.909
Te P Os
1 1 2
Cartesian
0.000 0.000 0.000
1.464 0.000 6.399
0.000 0.000 4.602
1.464 0.000 2.308
```


<2>
The following is a PBE-GGA calculation of TePOs2 after structural relaxation, from Alexandria.

As for the magnetic moment: 0.0 μB per cell. The value obtained for the density of states at the Fermi level is 4.711 states/eV/f.u.

```
TePOs2
1.0
0.000 3.214 3.214
3.214 0.000 3.214
3.214 3.214 0.000
Te P Os
1 1 2
Cartesian
0.000 0.000 0.000
4.821 4.821 4.821
1.607 1.607 1.607
3.214 3.214 3.214
```


How do the energies compare? Relative to the most stable structure, in kJ/mol of atoms: <1> 0.0; <2> 36.2.